A relaxed TlRe2NiO8 crystal, computed with GGA+U.

Properties
Volume: 18.1 A^3/atom
Symmetry: C2/m (12)
Density of states at the Fermi level: 5.37 states/eV/f.u.
Total energy: -7.20 eV/atom

Unit cell a=5.4575 b=5.4575 c=8.0814 alpha=93.29 beta=93.29 gamma=64.81
With the nearest neighbours (Å) after each atom.
Positions (direct):
Tl (0.0000, 0.0000, 0.0000)  6 O 2.95-2.96
Re (0.3683, 0.3683, 0.7072)  4 O 1.76-1.79
Re (0.6317, 0.6317, 0.2928)  4 O 1.76-1.79
Ni (0.0000, 0.0000, 0.5000)  6 O 2.03-2.10
O (0.2179, 0.2179, 0.5591)  1 Re 1.77
O (0.2257, 0.7263, 0.6824)  1 Re 1.79
O (0.2737, 0.7743, 0.3176)  1 Re 1.79
O (0.3058, 0.3058, 0.9080)  1 Re 1.76
O (0.6942, 0.6942, 0.0920)  1 Re 1.76
O (0.7263, 0.2257, 0.6824)  1 Re 1.79
O (0.7743, 0.2737, 0.3176)  1 Re 1.79
O (0.7821, 0.7821, 0.4409)  1 Re 1.77